! Nd3Dy4In PBE-GGA relaxed; values from VASP
&SYSTEM
  ibrav = 0, nat = 16, ntyp = 3
/
ATOMIC_SPECIES
Nd 144.24 Nd.upf
Dy 162.50 Dy.upf
In 114.82 In.upf
ATOMIC_POSITIONS angstrom
Nd 0.000 0.908 0.000
Nd 2.705 0.828 2.157
Nd 2.961 6.303 5.282
Nd 5.666 6.222 3.125
Nd 8.370 6.303 5.282
Nd 8.626 0.828 2.157
Dy 0.000 2.701 3.373
Dy 0.000 4.482 0.109
Dy 2.704 4.450 2.261
Dy 2.962 2.680 5.386
Dy 5.666 2.648 3.234
Dy 5.666 4.429 0.248
Dy 8.369 2.680 5.386
Dy 8.627 4.450 2.261
In 0.000 6.149 3.274
In 5.666 0.981 0.149
CELL_PARAMETERS angstrom
11.331 0.000 0.000
0.000 7.130 0.000
0.000 0.000 6.250
! crystal system	orthorhombic
! space group	Pmn2_1 (31)
! energy of formation	-0.11	eV/atom

=====

! SmThZr2 PBE-GGA relaxed; values from VASP
&SYSTEM
  ibrav = 0, nat = 12, ntyp = 3
/
ATOMIC_SPECIES
Sm 150.36 Sm.upf
Th 232.04 Th.upf
Zr 91.22 Zr.upf
ATOMIC_POSITIONS angstrom
Sm 0.000 0.000 0.000
Sm 0.000 1.971 21.875
Sm 1.707 0.986 10.938
Th 0.000 0.000 16.406
Th 0.000 1.971 5.469
Th 1.707 0.986 27.344
Zr 0.000 0.000 8.130
Zr 0.000 0.000 24.682
Zr 0.000 1.971 13.745
Zr 0.000 1.971 30.006
Zr 1.707 0.986 2.807
Zr 1.707 0.986 19.068
CELL_PARAMETERS angstrom
3.415 0.000 0.000
-1.707 2.957 0.000
0.000 0.000 32.813
! crystal system	trigonal
! space group	R-3m (166)
! energy of formation	0.17	eV/atom